# Na2Tl3CuCl6, optimized geometry, DFT PBE-GGA
# Total magnetization, μB per cell: 0.13
# Formation energy without anion corrections, eV per atom: -1.110
data_Na2Tl3CuCl6
_cell_length_a 7.4256
_cell_length_b 12.0500
_cell_length_c 7.6924
_cell_angle_alpha 90.00
_cell_angle_beta 109.56
_cell_angle_gamma 90.00
_space_group_name_H-M_alt 'C 1 2/m 1'
_space_group_IT_number 12
_space_group_name_Hall '-C 2y'
loop_
_atom_site_label
_atom_site_type_symbol
_atom_site_fract_x
_atom_site_fract_y
_atom_site_fract_z
Na1 Na 0.0000 0.1650 0.0000
Tl1 Tl 0.0000 0.0000 0.5000
Tl2 Tl 0.0000 0.3256 0.5000
Cu1 Cu 0.0000 0.5000 0.0000
Cl1 Cl 0.2079 0.3505 0.1914
Cl2 Cl 0.2377 0.0000 0.2308